## CoPdSO (GGA+U)

Data for a relaxed CoPdSO crystal.

## Properties
Total DFT energy (no corrections) = -5.163 eV/atom
Space group = Cmc2_1
Energy above the lowest structure with this stoichiometry = 96 meV/atom

Cell lengths 6.437, 6.437, 5.325 Å; angles 90.00, 90.00, 148.40 degrees
Site moments in Bohr magnetons follow the coordinates.
Positions (direct):
Co: 0.068 0.932 0.378  2.41
Co: 0.932 0.068 0.878  2.41
O: 0.072 0.928 0.014  0.04
O: 0.928 0.072 0.514  0.04
Pd: 0.317 0.683 0.488  -0.33
Pd: 0.683 0.317 0.988  -0.33
S: 0.322 0.678 0.013  -0.05
S: 0.678 0.322 0.513  -0.06